[1]
Entry from Alexandria: a geometry-optimized NaSnPt4 structure (PBE).

abc: 5.388 5.388 5.388
angles: 60.00 60.00 60.00
Fractional positions:
1 Pt 0.625 0.125 0.625
2 Pt 0.625 0.625 0.625
3 Pt 0.625 0.625 0.125
4 Na 0.250 0.250 0.250
5 Sn 0.000 0.000 0.000
6 Pt 0.125 0.625 0.625

- crystal system = cubic
- space-group type = F-43m (216)
- DOS at the Fermi energy (states/eV/cell) = 3.85


[2]
Entry from Alexandria: a geometry-optimized NaSnPt3 structure (PBE).

abc: 5.467 6.803 6.803
angles: 95.48 66.31 66.31
Fractional positions:
1 Pt 0.000 0.000 0.500
2 Pt 0.935 0.265 0.865
3 Na 0.500 0.000 0.000
4 Pt 0.500 0.000 0.500
5 Pt 0.065 0.735 0.135
6 Pt 0.435 0.365 0.765
7 Na 0.000 0.500 0.500
8 Sn 0.750 0.228 0.272
9 Sn 0.250 0.772 0.728
10 Pt 0.565 0.635 0.235

- crystal system = orthorhombic
- space-group type = Imma (74)
- DOS at the Fermi energy (states/eV/cell) = 6.69
- ΔE to the lowest computed polymorph (meV per atom) = 0


[3]
Entry from Alexandria: a geometry-optimized NaSn2Pt structure (PBE).

abc: 4.514 4.514 6.108
angles: 68.31 68.31 60.00
Fractional positions:
1 Sn 0.058 0.058 0.826
2 Na 0.493 0.493 0.520
3 Pt 0.673 0.673 0.981
4 Sn 0.275 0.275 0.174

- crystal system = trigonal
- space-group type = R3m (160)
- DOS at the Fermi energy (states/eV/cell) = 1.31


[4]
Entry from Alexandria: a geometry-optimized Na3Sn7Pt2 structure (PBE).

abc: 4.962 5.011 13.982
angles: 100.33 90.00 90.00
Fractional positions:
1 Na 0.500 0.500 0.000
2 Sn 0.000 0.629 0.259
3 Pt 0.000 0.909 0.817
4 Sn 0.000 0.371 0.741
5 Sn 0.000 0.000 0.000
6 Sn 0.500 0.130 0.260
7 Na 0.500 0.710 0.420
8 Sn 0.500 0.870 0.740
9 Sn 0.000 0.209 0.418
10 Na 0.500 0.290 0.580
11 Sn 0.000 0.791 0.582
12 Pt 0.000 0.091 0.183

- crystal system = orthorhombic
- space-group type = Cmmm (65)
- DOS at the Fermi energy (states/eV/cell) = 7.22


[5]
Entry from Alexandria: a geometry-optimized NaSn8Pt2 structure (PBE).

abc: 5.179 7.757 7.757
angles: 114.01 93.41 93.41
Fractional positions:
1 Sn 0.708 0.383 0.383
2 Na 0.500 0.000 0.000
3 Sn 0.500 0.746 0.254
4 Pt 0.000 0.672 0.328
5 Sn 0.116 0.329 0.058
6 Sn 0.116 0.058 0.329
7 Pt 0.000 0.328 0.672
8 Sn 0.884 0.942 0.671
9 Sn 0.292 0.617 0.617
10 Sn 0.884 0.671 0.942
11 Sn 0.500 0.254 0.746

- crystal system = monoclinic
- space-group type = C2/m (12)
- DOS at the Fermi energy (states/eV/cell) = 5.64
- ΔE to the lowest computed polymorph (meV per atom) = 0


[6]
Entry from Alexandria: a geometry-optimized NaSnPt3 structure (PBE).

abc: 4.674 4.674 4.674
angles: 90.00 90.00 90.00
Fractional positions:
1 Na 0.000 0.000 0.000
2 Sn 0.500 0.500 0.500
3 Pt 0.000 0.500 0.000
4 Pt 0.500 0.000 0.000
5 Pt 0.000 0.000 0.500

- crystal system = cubic
- space-group type = Pm-3m (221)
- DOS at the Fermi energy (states/eV/cell) = 10.94
- ΔE to the lowest computed polymorph (meV per atom) = 1328


[7]
Entry from Alexandria: a geometry-optimized Na2Sn4Pt structure (PBE).

abc: 5.233 5.233 8.900
angles: 72.90 72.90 90.00
Fractional positions:
1 Na 0.360 0.360 0.281
2 Sn 0.500 0.000 0.000
3 Na 0.640 0.640 0.719
4 Sn 0.000 0.500 0.000
5 Pt 0.000 0.000 0.000
6 Sn 0.169 0.169 0.661
7 Sn 0.831 0.831 0.339

- crystal system = tetragonal
- space-group type = I4/mmm (139)
- DOS at the Fermi energy (states/eV/cell) = 3.85
- ΔE to the lowest computed polymorph (meV per atom) = 59


[8]
Entry from Alexandria: a geometry-optimized Na3Sn3Pt2 structure (PBE).

abc: 5.987 8.290 15.826
angles: 90.00 90.00 90.00
Fractional positions:
1 Na 0.907 0.535 0.886
2 Na 0.093 0.465 0.386
3 Pt 0.904 0.113 0.393
4 Na 0.593 0.035 0.614
5 Pt 0.096 0.887 0.607
6 Pt 0.904 0.113 0.107
7 Na 0.864 0.815 0.250
8 Sn 0.604 0.317 0.457
9 Sn 0.896 0.817 0.043
10 Sn 0.396 0.683 0.543
11 Pt 0.404 0.387 0.607
12 Sn 0.104 0.183 0.957
13 Na 0.636 0.315 0.250
14 Sn 0.396 0.683 0.957
15 Sn 0.876 0.844 0.750
16 Na 0.407 0.965 0.114
17 Pt 0.096 0.887 0.893
18 Sn 0.104 0.183 0.543
19 Na 0.364 0.685 0.750
20 Pt 0.404 0.387 0.893
21 Sn 0.624 0.344 0.750
22 Sn 0.604 0.317 0.043
23 Na 0.593 0.035 0.886
24 Sn 0.124 0.156 0.250
25 Na 0.907 0.535 0.614
26 Sn 0.896 0.817 0.457
27 Na 0.407 0.965 0.386
28 Pt 0.596 0.613 0.107
29 Na 0.093 0.465 0.114
30 Pt 0.596 0.613 0.393
31 Na 0.136 0.185 0.750
32 Sn 0.376 0.656 0.250

- crystal system = orthorhombic
- space-group type = Pnma (62)
- DOS at the Fermi energy (states/eV/cell) = 11.69


Uncorrected energy, respectively: -5.225; -4.958; -4.261; -3.780; -4.325; -3.630; -3.471; -3.896 eV/atom.
Size of the total moment, respectively: 0.000; 0.000; 0.000; 0.000; 0.000; 0.000; 0.000; 0.000 μB per atom.
Formation enthalpy at 0 K, respectively: -0.310; -0.269; -0.419; -0.109; -0.196; 1.059; 0.056; -0.390 eV/atom.